NdBeF5 after structural relaxation, computed with GGA-PBE.

Cell lengths 7.175, 7.745, 8.716 Å; angles 90.00, 90.00, 90.00 degrees
Fractional positions:
F 0.930 0.745 0.607
F 0.250 0.664 0.358
F 0.070 0.245 0.893
F 0.570 0.755 0.107
F 0.250 0.836 0.858
F 0.750 0.164 0.142
F 0.750 0.965 0.768
Nd 0.250 0.770 0.113
F 0.750 0.989 0.477
F 0.430 0.245 0.893
Be 0.750 0.858 0.614
Nd 0.250 0.730 0.613
F 0.750 0.336 0.642
F 0.250 0.489 0.023
Be 0.250 0.142 0.386
Nd 0.750 0.270 0.387
F 0.430 0.255 0.393
Nd 0.750 0.230 0.887
F 0.570 0.745 0.607
Be 0.750 0.642 0.114
F 0.250 0.465 0.732
F 0.070 0.255 0.393
F 0.930 0.755 0.107
F 0.250 0.035 0.232
F 0.750 0.535 0.268
F 0.750 0.511 0.977
Be 0.250 0.358 0.886
F 0.250 0.011 0.523

Values from the calculation:
The volume comes out at 17.3 Å³ per atom. The density of states at the Fermi level comes out at 0.000 states/eV/f.u. For the total magnetization, the calculation gives 0.00 μB per cell. As for the symmetry: No. 62. The value obtained for the formation energy from raw total energies is -3.6976 eV/atom.